(1)
VASP calculation (GGA-PBE) on an optimized crystal structure of Hf4Pt.

abc: 5.033 5.033 5.033
angles: 90.00 90.00 90.00
Element x y z (fractional)
Hf 0.000 0.000 0.000
Hf 0.000 0.500 0.500
Hf 0.500 0.000 0.500
Hf 0.500 0.500 0.000
Pt 0.500 0.500 0.500

Values from the calculation:
Its space group is Pm-3m. As for the energy above the lowest structure with this stoichiometry: 632 meV per atom.

(2)
VASP calculation (GGA-PBE) on an optimized crystal structure of Hf2Pt3.

abc: 10.734 4.094 8.474
angles: 90.00 90.00 90.00
Element x y z (fractional)
Hf 0.014 0.250 0.169
Hf 0.193 0.750 0.411
Hf 0.307 0.250 0.911
Hf 0.486 0.750 0.669
Hf 0.514 0.250 0.331
Hf 0.693 0.750 0.089
Hf 0.807 0.250 0.589
Hf 0.986 0.750 0.831
Pt 0.061 0.250 0.599
Pt 0.161 0.750 0.062
Pt 0.221 0.750 0.731
Pt 0.279 0.250 0.231
Pt 0.339 0.250 0.562
Pt 0.439 0.750 0.099
Pt 0.561 0.250 0.901
Pt 0.661 0.750 0.438
Pt 0.721 0.750 0.769
Pt 0.779 0.250 0.269
Pt 0.839 0.250 0.938
Pt 0.939 0.750 0.401

Values from the calculation:
Its space group is Pnma.

(3)
VASP calculation (GGA-PBE) on an optimized crystal structure of Hf4Pt.

abc: 7.426 6.099 8.752
angles: 56.68 43.34 79.98
Element x y z (fractional)
Hf 0.141 0.859 0.252
Hf 0.450 0.526 0.349
Hf 0.502 0.998 0.391
Hf 0.526 0.450 0.675
Hf 0.575 0.901 0.724
Hf 0.859 0.141 0.748
Hf 0.901 0.575 0.800
Hf 0.998 0.502 0.109
Pt 0.041 0.041 0.959
Pt 0.291 0.291 0.209

Values from the calculation:
Its space group is Fdd2. As for the energy above the lowest structure with this stoichiometry: 0 meV per atom.

(4)
VASP calculation (GGA-PBE) on an optimized crystal structure of HfPt4.

abc: 4.010 4.010 20.234
angles: 90.00 90.00 90.00
Element x y z (fractional)
Hf 0.000 0.000 0.101
Hf 0.000 0.000 0.304
Hf 0.000 0.000 0.696
Hf 0.000 0.000 0.899
Pt 0.000 0.000 0.500
Pt 0.000 0.500 0.000
Pt 0.000 0.500 0.199
Pt 0.000 0.500 0.398
Pt 0.000 0.500 0.602
Pt 0.000 0.500 0.801
Pt 0.500 0.000 0.000
Pt 0.500 0.000 0.199
Pt 0.500 0.000 0.398
Pt 0.500 0.000 0.602
Pt 0.500 0.000 0.801
Pt 0.500 0.500 0.100
Pt 0.500 0.500 0.299
Pt 0.500 0.500 0.500
Pt 0.500 0.500 0.701
Pt 0.500 0.500 0.900

Values from the calculation:
Its space group is P4/mmm.

Number 1: final energy -0.325 Ha/atom, total moment 0.00 μB/f.u.. Number 2: final energy -0.318 Ha/atom, total moment 0.00 μB/f.u.. Number 3: final energy -0.348 Ha/atom, total moment 0.00 μB/f.u.. Number 4: final energy -0.284 Ha/atom, total moment 0.00 μB/f.u..